[1]
The following is a DFT calculation (PBE-GGA) of a relaxed structure of Pr4Cd2F.

Results
Calculated total energy   -28.13 eV/f.u.
N(E_F)   13.7 states/eV/cell

Cell lengths 4.9745, 4.9745, 16.6404 Å; angles 90.00, 90.00, 90.00 degrees
Closest atoms and distances in Å follow each position.
Space group I4/mmm (No. 139)
Unique sites:
Pr 0.0000 0.0000 0.1834 [4 per cell]  1 F 3.05, 1 Cd 3.11
Pr 0.0000 0.5000 0.0000 [4 per cell]  2 F 2.49
Cd 0.0000 0.0000 0.3701 [4 per cell]  5 Pr 3.11-3.30
F 0.0000 0.0000 0.0000 [2 per cell]  4 Pr 2.49

[2]
The following is a DFT calculation (PBE-GGA) of a relaxed structure of Pr2CdF.

Results
Relative energy among the computed polymorphs   17.2 kJ per mole of atoms
N(E_F)   3.5 states/eV/cell

Cell lengths 3.3538, 3.3538, 8.3998 Å; angles 90.00, 90.00, 90.00 degrees
Closest atoms and distances in Å follow each position.
Space group P4/mmm (No. 123)
Unique sites:
Pr 0.0000 0.0000 0.2272 [2 per cell]  4 F 3.04, 4 Cd 3.30, 4 Pr 3.35
Cd 0.5000 0.5000 0.5000 [1 per cell]  8 Pr 3.30, 4 Cd 3.35
F 0.5000 0.5000 0.0000 [1 per cell]  8 Pr 3.04, 4 F 3.35

[3]
The following is a DFT calculation (PBE-GGA) of a relaxed structure of Pr2CdF8.

Results
Calculated total energy   -64.47 eV/f.u.
N(E_F)   0.0 states/eV/cell

Cell lengths 14.9148, 3.8650, 5.6373 Å; angles 90.00, 110.46, 90.00 degrees
Closest atoms and distances in Å follow each position.
Space group C2/m (No. 12)
Unique sites:
Pr 0.1726 0.0000 0.1807 [4 per cell]  9 F 2.36-2.52
Cd 0.0000 0.5000 0.5000 [2 per cell]  6 F 2.34-2.36
F 0.0359 0.0000 0.3101 [4 per cell]  2 Cd 2.36, 1 Pr 2.39
F 0.0945 0.5000 0.9296 [4 per cell]  1 Cd 2.34, 2 Pr 2.44
F 0.1754 0.5000 0.4608 [4 per cell]  3 Pr 2.45-2.49, 3 F 2.59-2.72, 1 Cd 2.70
F 0.2196 0.0000 0.8218 [4 per cell]  3 Pr 2.36-2.52, 2 F 2.59-2.63

[4]
The following is a DFT calculation (PBE-GGA) of a relaxed structure of Pr2CdF.

Results
Relative energy among the computed polymorphs   0.0 kJ per mole of atoms
N(E_F)   12.7 states/eV/cell

Cell lengths 3.9197, 3.9197, 22.9395 Å; angles 90.00, 90.00, 120.00 degrees
Closest atoms and distances in Å follow each position.
Space group R-3m (No. 166, hexagonal axes)
Unique sites:
Pr 0.0000 0.0000 0.2289 [6 per cell]  3 F 2.68
Cd 0.0000 0.0000 0.0000 [3 per cell]  6 Pr 3.30
F 0.0000 0.0000 0.5000 [3 per cell]  6 Pr 2.68

[5]
The following is a DFT calculation (PBE-GGA) of a relaxed structure of CdPtF2.

Results
Relative energy among the computed polymorphs   33.1 kJ per mole of atoms
N(E_F)   8.4 states/eV/cell

Cell lengths 6.5015, 6.5015, 5.7215 Å; angles 90.00, 90.00, 90.00 degrees
Closest atoms and distances in Å follow each position.
Space group I-42d (No. 122)
Unique sites:
Cd 0.0000 0.0000 0.0000 [4 per cell]  4 F 2.36
Pt 0.0000 0.0000 0.5000 [4 per cell]  4 F 2.45
F 0.2395 0.2500 0.1250 [8 per cell]  2 Cd 2.36, 2 Pt 2.45

[6]
The following is a DFT calculation (PBE-GGA) of a relaxed structure of Cd3PtF.

Results
Relative energy among the computed polymorphs   0.0 kJ per mole of atoms
N(E_F)   2.0 states/eV/cell

Cell lengths 5.2167, 5.2167, 5.2167 Å; angles 90.00, 90.00, 90.00 degrees
Closest atoms and distances in Å follow each position.
Space group Pm-3m (No. 221)
Unique sites:
Cd 0.0000 0.0000 0.5000 [3 per cell]  2 Pt 2.61
Pt 0.0000 0.0000 0.0000 [1 per cell]  6 Cd 2.61
F 0.5000 0.5000 0.5000 [1 per cell]  12 Cd 3.69

[7]
The following is a DFT calculation (PBE-GGA) of a relaxed structure of CdPtF2.

Results
Relative energy among the computed polymorphs   41.6 kJ per mole of atoms
N(E_F)   16.2 states/eV/cell

Cell lengths 6.0987, 6.0987, 6.0987 Å; angles 90.00, 90.00, 90.00 degrees
Closest atoms and distances in Å follow each position.
Space group Fm-3m (No. 225)
Unique sites:
Cd 0.0000 0.0000 0.0000 [4 per cell]  8 F 2.64
Pt 0.0000 0.0000 0.5000 [4 per cell]  8 F 2.64
F 0.2500 0.2500 0.2500 [8 per cell]  4 Cd 2.64, 4 Pt 2.64

[8]
The following is a DFT calculation (PBE-GGA) of a relaxed structure of Cd3PtF.

Results
Relative energy among the computed polymorphs   0.4 kJ per mole of atoms
N(E_F)   1.1 states/eV/cell

Cell lengths 4.5799, 4.5799, 4.5799 Å; angles 90.00, 90.00, 90.00 degrees
Closest atoms and distances in Å follow each position.
Space group Pm-3m (No. 221)
Unique sites:
Cd 0.0000 0.0000 0.5000 [3 per cell]  2 F 2.29
Pt 0.5000 0.5000 0.5000 [1 per cell]  12 Cd 3.24
F 0.0000 0.0000 0.0000 [1 per cell]  6 Cd 2.29

[9]
The following is a DFT calculation (PBE-GGA) of a relaxed structure of CdPtF2.

Results
Relative energy among the computed polymorphs   0.0 kJ per mole of atoms
N(E_F)   3.5 states/eV/cell

Cell lengths 2.9136, 2.9136, 24.0247 Å; angles 90.00, 90.00, 120.00 degrees
Closest atoms and distances in Å follow each position.
Space group R-3m (No. 166, hexagonal axes)
Unique sites:
Cd 0.0000 0.0000 0.0000 [3 per cell]  6 F 2.61, 6 Cd 2.91
Pt 0.0000 0.0000 0.5000 [3 per cell]  2 F 2.01
F 0.0000 0.0000 0.4164 [6 per cell]  1 Pt 2.01

[10]
The following is a DFT calculation (PBE-GGA) of a relaxed structure of CdPt2F8.

Results
Calculated total energy   -42.93 eV/f.u.
N(E_F)   5.6 states/eV/cell

Cell lengths 4.0628, 6.0826, 7.2704 Å; angles 68.38, 89.80, 70.90 degrees
Closest atoms and distances in Å follow each position.
Space group P-1 (No. 2)
Unique sites:
Cd 0.0000 0.0000 0.0000 [1 per cell]  2 F 2.14
Pt 0.3876 0.2244 0.3653 [2 per cell]  5 F 1.92-2.12
F 0.1074 0.7855 0.6714 [2 per cell]  2 Pt 2.05
F 0.2018 0.5961 0.1435 [2 per cell]  1 Pt 2.12, 1 Cd 2.14
F 0.3274 0.3414 0.5789 [2 per cell]  1 Pt 1.92
F 0.4483 0.1026 0.1400 [2 per cell]  1 Pt 2.02

[11]
The following is a DFT calculation (PBE-GGA) of a relaxed structure of RbCd2PtF.

Results
Calculated total energy   -8.96 eV/f.u.
N(E_F)   4.9 states/eV/cell

Cell lengths 6.2202, 6.2202, 4.6312 Å; angles 90.00, 90.00, 90.00 degrees
Closest atoms and distances in Å follow each position.
Space group P4/mmm (No. 123)
Unique sites:
Rb 0.0000 0.0000 0.0000 [1 per cell]  2 F 2.32
Cd 0.0000 0.5000 0.0000 [2 per cell]  2 Rb 3.11
Pt 0.5000 0.5000 0.5000 [1 per cell]  8 Cd 3.88
F 0.0000 0.0000 0.5000 [1 per cell]  2 Rb 2.32

[12]
The following is a DFT calculation (PBE-GGA) of a relaxed structure of CdPtSF2.

Results
Calculated total energy   -17.28 eV/f.u.
N(E_F)   2.5 states/eV/cell

Cell lengths 3.9908, 3.9908, 6.3660 Å; angles 90.00, 90.00, 90.00 degrees
Closest atoms and distances in Å follow each position.
Space group P4/mmm (No. 123)
Unique sites:
Cd 0.0000 0.0000 0.0000 [1 per cell]  4 F 2.00
Pt 0.0000 0.0000 0.5000 [1 per cell]  4 S 2.82
S 0.5000 0.5000 0.5000 [1 per cell]  4 Pt 2.82
F 0.0000 0.5000 0.0000 [2 per cell]  2 Cd 2.00

[13]
The following is a DFT calculation (PBE-GGA) of a relaxed structure of SrCd2PtF.

Results
Calculated total energy   -15.42 eV/f.u.
N(E_F)   2.0 states/eV/cell

Cell lengths 4.8748, 4.8748, 4.7163 Å; angles 90.00, 90.00, 90.00 degrees
Closest atoms and distances in Å follow each position.
Space group P4/mmm (No. 123)
Unique sites:
Sr 0.0000 0.0000 0.0000 [1 per cell]  2 F 2.36
Cd 0.0000 0.5000 0.5000 [2 per cell]  2 F 2.44
Pt 0.5000 0.5000 0.0000 [1 per cell]  8 Cd 3.39, 4 Sr 3.45
F 0.0000 0.0000 0.5000 [1 per cell]  2 Sr 2.36, 4 Cd 2.44

[14]
The following is a DFT calculation (PBE-GGA) of a relaxed structure of SrCdPt2F.

Results
Calculated total energy   -16.89 eV/f.u.
N(E_F)   3.5 states/eV/cell

Cell lengths 5.4806, 5.4806, 4.3752 Å; angles 90.00, 90.00, 90.00 degrees
Closest atoms and distances in Å follow each position.
Space group P4/mmm (No. 123)
Unique sites:
Sr 0.0000 0.0000 0.0000 [1 per cell]  2 F 2.19
Cd 0.5000 0.5000 0.5000 [1 per cell]  8 Pt 3.51, 4 F 3.88
Pt 0.0000 0.5000 0.0000 [2 per cell]  2 Sr 2.74
F 0.0000 0.0000 0.5000 [1 per cell]  2 Sr 2.19

[15]
The following is a DFT calculation (PBE-GGA) of a relaxed structure of Ti2CdPtF.

Results
Calculated total energy   -19.92 eV/f.u.
N(E_F)   10.4 states/eV/cell

Cell lengths 5.1903, 5.1903, 4.8804 Å; angles 90.00, 90.00, 90.00 degrees
Closest atoms and distances in Å follow each position.
Space group P4/mmm (No. 123)
Unique sites:
Ti 0.0000 0.5000 0.0000 [2 per cell]  2 Cd 2.60
Cd 0.0000 0.0000 0.0000 [1 per cell]  2 Pt 2.44, 4 Ti 2.60
Pt 0.0000 0.0000 0.5000 [1 per cell]  2 Cd 2.44
F 0.5000 0.5000 0.5000 [1 per cell]  8 Ti 3.56, 4 Pt 3.67

[16]
The following is a DFT calculation (PBE-GGA) of a relaxed structure of ZnCd2PtF.

Results
Calculated total energy   -10.39 eV/f.u.
N(E_F)   3.8 states/eV/cell

Cell lengths 5.1251, 5.1251, 4.5892 Å; angles 90.00, 90.00, 90.00 degrees
Closest atoms and distances in Å follow each position.
Space group P4/mmm (No. 123)
Unique sites:
Zn 0.0000 0.0000 0.0000 [1 per cell]  2 Pt 2.29, 4 Cd 2.56
Cd 0.0000 0.5000 0.0000 [2 per cell]  2 Zn 2.56
Pt 0.0000 0.0000 0.5000 [1 per cell]  2 Zn 2.29
F 0.5000 0.5000 0.5000 [1 per cell]  8 Cd 3.44, 4 Pt 3.62

[17]
The following is a DFT calculation (PBE-GGA) of a relaxed structure of PuCd2F4.

Results
Calculated total energy   -40.69 eV/f.u.
N(E_F)   14.7 states/eV/cell

Cell lengths 4.4852, 4.4852, 19.1545 Å; angles 90.00, 90.00, 90.00 degrees
Closest atoms and distances in Å follow each position.
Space group I4/mmm (No. 139)
Unique sites:
Pu 0.0000 0.0000 0.0000 [2 per cell]  6 F 2.16-2.24
Cd 0.0000 0.0000 0.2395 [4 per cell]  1 F 2.42
F 0.0000 0.0000 0.1129 [4 per cell]  1 Pu 2.16
F 0.0000 0.5000 0.0000 [4 per cell]  2 Pu 2.24

[18]
The following is a DFT calculation (PBE-GGA) of a relaxed structure of PuCdF2.

Results
Calculated total energy   -25.82 eV/f.u.
N(E_F)   21.1 states/eV/cell

Cell lengths 3.2936, 3.2936, 26.7479 Å; angles 90.00, 90.00, 120.00 degrees
Closest atoms and distances in Å follow each position.
Space group R-3m (No. 166, hexagonal axes)
Unique sites:
Pu 0.0000 0.0000 0.0000 [3 per cell]  2 F 2.13
Cd 0.0000 0.0000 0.5000 [3 per cell]  6 F 3.01, 6 Cd 3.29
F 0.0000 0.0000 0.0795 [6 per cell]  1 Pu 2.13

[19]
The following is a DFT calculation (PBE-GGA) of a relaxed structure of PuCdF.

Results
Calculated total energy   -21.37 eV/f.u.
N(E_F)   56.9 states/eV/cell

Cell lengths 3.9028, 3.9028, 31.4868 Å; angles 90.00, 90.00, 120.00 degrees
Closest atoms and distances in Å follow each position.
Space group R-3m (No. 166, hexagonal axes)
Unique sites:
Pu 0.0000 0.0000 0.1088 [6 per cell]  4 F 2.47-2.64
Cd 0.0000 0.0000 0.3648 [6 per cell]  3 Cd 3.00, 3 Pu 3.32
F 0.0000 0.0000 0.1928 [6 per cell]  4 Pu 2.47-2.64

[20]
The following is a DFT calculation (PBE-GGA) of a relaxed structure of Pu2CdF8.

Results
Relative energy among the computed polymorphs   0.0 kJ per mole of atoms
N(E_F)   43.1 states/eV/cell

Cell lengths 14.8708, 3.8694, 5.6301 Å; angles 90.00, 110.74, 90.00 degrees
Closest atoms and distances in Å follow each position.
Space group C2/m (No. 12)
Unique sites:
Pu 0.1719 0.0000 0.1785 [4 per cell]  9 F 2.34-2.53
Cd 0.0000 0.5000 0.5000 [2 per cell]  6 F 2.32-2.36
F 0.0374 0.0000 0.3124 [4 per cell]  2 Cd 2.36, 1 Pu 2.37
F 0.0946 0.5000 0.9283 [4 per cell]  1 Cd 2.32, 2 Pu 2.43
F 0.1761 0.5000 0.4581 [4 per cell]  3 Pu 2.45-2.48, 5 F 2.59-2.73, 1 Cd 2.71
F 0.2188 0.0000 0.8235 [4 per cell]  3 Pu 2.34-2.53, 1 F 2.59

[21]
The following is a DFT calculation (PBE-GGA) of a relaxed structure of Pu2CdF11.

Results
Calculated total energy   -92.56 eV/f.u.
N(E_F)   77.5 states/eV/cell

Cell lengths 8.5287, 10.1585, 10.8806 Å; angles 90.00, 90.00, 90.00 degrees
Closest atoms and distances in Å follow each position.
Space group Ibam (No. 72)
Unique sites:
Pu 0.1567 0.1795 0.0000 [8 per cell]  6 F 2.09-2.26
Cd 0.0000 0.5000 0.2500 [4 per cell]  8 F 2.37-2.40
F 0.0000 0.0000 0.0000 [4 per cell]  2 Pu 2.26, 2 F 2.43
F 0.0881 0.3123 0.1403 [16 per cell]  1 Pu 2.12, 1 Cd 2.37
F 0.1356 0.2109 0.5000 [8 per cell]  1 Pu 2.09
F 0.2254 0.4324 0.3653 [16 per cell]  1 Pu 2.11

[22]
The following is a DFT calculation (PBE-GGA) of a relaxed structure of PuCd2F8.

Results
Relative energy among the computed polymorphs   2.8 kJ per mole of atoms
N(E_F)   12.8 states/eV/cell

Cell lengths 14.0312, 3.9828, 5.4646 Å; angles 90.00, 105.59, 90.00 degrees
Closest atoms and distances in Å follow each position.
Space group C2/m (No. 12)
Unique sites:
Pu 0.0000 0.0000 0.0000 [2 per cell]  8 F 2.11-2.36
Cd 0.1954 0.5000 0.7064 [4 per cell]  5 F 2.21-2.38
F 0.0449 0.5000 0.8280 [4 per cell]  2 Pu 2.36, 1 Cd 2.38, 3 F 2.53
F 0.0821 0.0000 0.3850 [4 per cell]  1 Pu 2.11
F 0.1594 0.0000 0.9483 [4 per cell]  1 Pu 2.33, 3 Cd 2.38-2.52, 3 F 2.53-2.56
F 0.2166 0.5000 0.3207 [4 per cell]  3 Cd 2.21-2.37

[23]
The following is a DFT calculation (PBE-GGA) of a relaxed structure of PuCd2F8.

Results
Relative energy among the computed polymorphs   0.0 kJ per mole of atoms
N(E_F)   5.1 states/eV/cell

Cell lengths 5.5202, 5.5202, 10.9687 Å; angles 90.00, 90.00, 90.00 degrees
Closest atoms and distances in Å follow each position.
Space group I4/mmm (No. 139)
Unique sites:
Pu 0.0000 0.0000 0.0000 [2 per cell]  8 F 2.28
Cd 0.0000 0.5000 0.2500 [4 per cell]  8 F 2.38
F 0.2309 0.2309 0.1269 [16 per cell]  1 Pu 2.28, 2 Cd 2.38, 2 F 2.55

[24]
The following is a DFT calculation (PBE-GGA) of a relaxed structure of Pu2CdF8.

Results
Relative energy among the computed polymorphs   13.8 kJ per mole of atoms
N(E_F)   34.9 states/eV/cell

Cell lengths 7.7759, 4.9867, 8.3500 Å; angles 90.00, 92.25, 90.00 degrees
Closest atoms and distances in Å follow each position.
Space group C2/m (No. 12)
Unique sites:
Pu 0.1311 0.0000 0.3399 [4 per cell]  7 F 2.28-2.52
Cd 0.0000 0.5000 0.0000 [2 per cell]  2 F 2.08
F 0.1078 0.5000 0.2316 [4 per cell]  1 Cd 2.08
F 0.1265 0.2426 0.6045 [8 per cell]  3 Pu 2.31-2.52, 3 F 2.42-2.58
F 0.1910 0.0000 0.0750 [4 per cell]  1 Pu 2.28, 1 Cd 2.51

[25]
The following is a DFT calculation (PBE-GGA) of a relaxed structure of PuTl2Cd3F12.

Results
Calculated total energy   -88.02 eV/f.u.
N(E_F)   0.4 states/eV/cell

Cell lengths 7.9061, 7.9061, 21.4222 Å; angles 90.00, 90.00, 120.00 degrees
Closest atoms and distances in Å follow each position.
Space group R-3m (No. 166, hexagonal axes)
Unique sites:
Pu 0.0000 0.0000 0.0000 [3 per cell]  6 F 2.15
Tl 0.0000 0.0000 0.4194 [6 per cell]  3 F 2.83
Cd 0.0000 0.5000 0.5000 [9 per cell]  6 F 2.22-2.36
F 0.0424 0.5212 0.8594 [18 per cell]  2 Cd 2.22
F 0.0802 0.5401 0.6069 [18 per cell]  1 Pu 2.15, 1 Cd 2.36